[1]
Compound: HoThRu
Source: Alexandria via LeMat-Bulk
Functional: PBE-GGA
Structure: optimized geometry

a = 4.069 Å, b = 6.050 Å, c = 13.142 Å
α = 90.00°, β = 90.00°, γ = 90.00°
Fractional coordinates of all 12 atoms:
Ru1 0.250 0.165 0.026
Ho1 0.250 0.127 0.404
Th1 0.250 0.876 0.844
Ru2 0.250 0.665 0.474
Ho2 0.750 0.873 0.596
Th2 0.750 0.124 0.156
Th3 0.750 0.624 0.344
Th4 0.250 0.376 0.656
Ru3 0.750 0.835 0.974
Ho3 0.750 0.373 0.904
Ho4 0.250 0.627 0.096
Ru4 0.750 0.335 0.526

Values from the calculation:
- Energy relative to the elements: -322 meV per atom
- DFT total energy: -88.96 eV for the cell shown
- Distance to the lowest polymorph of the same formula: 0.018 eV per atom

=====

[2]
Compound: Pm19Sm4Er6
Source: Alexandria via LeMat-Bulk
Functional: PBE-GGA
Structure: optimized geometry

a = 10.954 Å, b = 10.954 Å, c = 10.954 Å
α = 109.47°, β = 109.47°, γ = 109.47°
Fractional coordinates of all 29 atoms:
Er1 0.500 0.124 0.624
Pm1 0.261 0.000 0.261
Pm2 0.456 0.675 0.659
Pm3 0.341 0.017 0.797
Pm4 0.659 0.456 0.675
Sm1 0.000 0.000 0.638
Pm5 0.983 0.325 0.780
Pm6 0.000 0.739 0.739
Pm7 0.017 0.797 0.341
Sm2 0.638 0.000 0.000
Pm8 0.325 0.780 0.983
Sm3 0.000 0.638 0.000
Pm9 0.544 0.203 0.220
Pm10 0.203 0.220 0.544
Er2 0.624 0.500 0.124
Er3 0.124 0.624 0.500
Er4 0.376 0.500 0.876
Pm11 0.739 0.000 0.739
Pm12 0.780 0.983 0.325
Pm13 0.261 0.261 0.000
Pm14 0.220 0.544 0.203
Pm15 0.797 0.341 0.017
Pm16 0.000 0.261 0.261
Sm4 0.362 0.362 0.362
Pm17 0.739 0.739 0.000
Pm18 0.000 0.000 0.000
Er5 0.876 0.376 0.500
Er6 0.500 0.876 0.376
Pm19 0.675 0.659 0.456

Values from the calculation:
- Energy relative to the elements: 371 meV per atom
- DFT total energy: -125.75 eV for the cell shown

=====

[3]
Compound: Tb3Dy2PuTe6
Source: Alexandria via LeMat-Bulk
Functional: PBE-GGA
Structure: optimized geometry

a = 4.354 Å, b = 8.780 Å, c = 9.788 Å
α = 103.03°, β = 102.85°, γ = 90.00°
Site moments in Bohr magnetons follow the coordinates.
Fractional coordinates of all 12 atoms:
Tb1 0.835 0.166 0.670  0.02
Tb2 0.500 0.500 0.000  -0.01
Te1 0.669 0.582 0.337  0.00
Te2 0.331 0.418 0.663  0.00
Te3 0.000 0.748 0.000  -0.03
Pu1 0.500 0.000 0.000  5.58
Te4 0.668 0.085 0.337  -0.01
Te5 0.000 0.252 0.000  -0.03
Te6 0.332 0.915 0.663  -0.01
Tb3 0.165 0.834 0.330  0.02
Dy1 0.164 0.328 0.327  0.05
Dy2 0.836 0.672 0.673  0.05

Values from the calculation:
- DFT total energy: -71.65 eV for the cell shown
- E_form (uncorrected): -1.281 eV per atom

=====

[4]
Compound: NaNiI4
Source: Alexandria via LeMat-Bulk
Functional: PBE-GGA
Structure: optimized geometry

a = 4.069 Å, b = 6.943 Å, c = 7.783 Å
α = 100.46°, β = 90.00°, γ = 90.00°
Site moments in Bohr magnetons follow the coordinates.
Fractional coordinates of all 6 atoms:
I1 0.500 0.279 0.325  0.12
Ni1 0.000 0.500 0.500  0.71
I2 0.000 0.264 0.729  0.01
I3 0.000 0.736 0.271  0.01
Na1 0.500 0.500 0.000  0.00
I4 0.500 0.721 0.675  0.12

Values from the calculation:
- DFT total energy: -15.53 eV for the cell shown
- E_form (uncorrected): -0.371 eV per atom

=====

[5]
Compound: La2Nd3Ho6
Source: Alexandria via LeMat-Bulk
Functional: PBE-GGA
Structure: optimized geometry

a = 4.807 Å, b = 4.807 Å, c = 17.037 Å
α = 98.11°, β = 98.11°, γ = 90.00°
Fractional coordinates of all 11 atoms:
Nd1 0.204 0.204 0.409
La1 0.454 0.454 0.908
Nd2 0.000 0.000 0.000
Ho1 0.692 0.692 0.385
Ho2 0.308 0.308 0.615
Nd3 0.796 0.796 0.591
Ho3 0.378 0.878 0.757
Ho4 0.878 0.378 0.757
Ho5 0.122 0.622 0.243
La2 0.546 0.546 0.092
Ho6 0.622 0.122 0.243

Values from the calculation:
- Energy relative to the elements: 252 meV per atom
- DFT total energy: -48.85 eV for the cell shown
- Distance to the lowest polymorph of the same formula: 0.070 eV per atom

=====

[6]
Compound: Ho2ThZn2In2
Source: Alexandria via LeMat-Bulk
Functional: PBE-GGA
Structure: optimized geometry

a = 4.668 Å, b = 4.668 Å, c = 9.846 Å
α = 76.29°, β = 76.29°, γ = 60.00°
Fractional coordinates of all 7 atoms:
Zn1 0.395 0.395 0.814
Ho1 0.129 0.129 0.614
Th1 0.000 0.000 0.000
In1 0.257 0.257 0.228
In2 0.743 0.743 0.772
Ho2 0.871 0.871 0.386
Zn2 0.605 0.605 0.186

Values from the calculation:
- Energy relative to the elements: -215 meV per atom
- DFT total energy: -26.11 eV for the cell shown